# Ac2V2O7, optimized geometry, DFT PBE with a Hubbard U
data_Ac2V2O7
_chemical_formula_sum 'Ac2 V2 O7'
_cell_length_a 6.1313
_cell_length_b 5.2317
_cell_length_c 6.3739
_cell_angle_alpha 80.76
_cell_angle_beta 76.80
_cell_angle_gamma 94.84
_space_group_name_H-M_alt 'P 1'
_space_group_IT_number 1
_space_group_name_Hall 'P 1'
loop_
_atom_site_label
_atom_site_type_symbol
_atom_site_fract_x
_atom_site_fract_y
_atom_site_fract_z
Ac1 Ac 0.6968 0.4690 0.7092
Ac2 Ac 0.3032 0.5310 0.2908
V1 V 0.7852 0.0782 0.2317
V2 V 0.2148 0.9218 0.7683
O1 O 0.9154 0.2800 0.3870
O2 O 0.4024 0.7232 0.8910
O3 O 0.0846 0.7200 0.6130
O4 O 0.5976 0.2768 0.1090
O5 O 0.0000 0.0000 0.0000
O6 O 0.6294 0.7705 0.3837
O7 O 0.3706 0.2295 0.6163
# Total DFT energy (no corrections): -7.9158 eV per atom
# Crystal system: triclinic
# Density: 5.69 g cm⁻³